1.
! PBEsol CrFe2Os, relaxed; values from VASP
&SYSTEM
  ibrav = 0, nat = 4, ntyp = 3
/
ATOMIC_SPECIES
Cr 52.00 Cr.upf
Fe 55.84 Fe.upf
Os 190.23 Os.upf
ATOMIC_POSITIONS angstrom
Cr 0.000 0.000 0.000
Fe 0.000 0.000 6.204
Fe 0.000 0.000 12.388
Os 0.000 0.000 18.414
CELL_PARAMETERS angstrom
1.292 0.746 8.136
-1.292 0.746 8.136
0.000 -1.492 8.136
! - E: -9.8799 eV/atom
! - Space-group type: R3m (160)
! - ΔE_f: 0.216 eV per atom

---

2.
! PBEsol Cr2FeOs, relaxed; values from VASP
&SYSTEM
  ibrav = 0, nat = 4, ntyp = 3
/
ATOMIC_SPECIES
Cr 52.00 Cr.upf
Fe 55.84 Fe.upf
Os 190.23 Os.upf
ATOMIC_POSITIONS angstrom
Cr 0.000 1.807 0.000
Cr 1.807 0.000 0.000
Fe 0.000 0.000 1.797
Os 1.807 1.807 1.797
CELL_PARAMETERS angstrom
3.615 0.000 0.000
0.000 3.615 0.000
0.000 0.000 3.593
! - E: -10.3103 eV/atom
! - Space-group type: P4/mmm (123)
! - Excess energy over the best structure of this formula in the dataset: 6.8 meV/atom
! - ΔE_f: 0.106 eV per atom

---

3.
! PBEsol CrFe2Os, relaxed; values from VASP
&SYSTEM
  ibrav = 0, nat = 4, ntyp = 3
/
ATOMIC_SPECIES
Cr 52.00 Cr.upf
Fe 55.84 Fe.upf
Os 190.23 Os.upf
ATOMIC_POSITIONS angstrom
Cr 0.000 0.000 0.000
Fe 1.481 0.000 3.255
Fe 6.027 0.000 1.025
Os 3.754 0.000 2.140
CELL_PARAMETERS angstrom
4.157 -1.281 0.000
4.157 1.281 0.000
-0.807 0.000 4.280
! - E: -9.9593 eV/atom
! - Space-group type: C2/m (12)
! - ΔE_f: 0.137 eV per atom

---

4.
! PBEsol CrFe2Os, relaxed; values from VASP
&SYSTEM
  ibrav = 0, nat = 4, ntyp = 3
/
ATOMIC_SPECIES
Cr 52.00 Cr.upf
Fe 55.84 Fe.upf
Os 190.23 Os.upf
ATOMIC_POSITIONS angstrom
Cr 0.000 0.000 0.000
Fe 1.782 0.000 1.775
Fe 0.000 1.782 1.775
Os 0.000 0.000 3.549
CELL_PARAMETERS angstrom
-1.782 1.782 3.549
1.782 -1.782 3.549
1.782 1.782 -3.549
! - E: -10.0422 eV/atom
! - Space-group type: I4/mmm (139)
! - ΔE_f: 0.054 eV per atom

---

5.
! PBEsol CrFeOs, relaxed; values from VASP
&SYSTEM
  ibrav = 0, nat = 3, ntyp = 3
/
ATOMIC_SPECIES
Cr 52.00 Cr.upf
Fe 55.84 Fe.upf
Os 190.23 Os.upf
ATOMIC_POSITIONS angstrom
Cr 0.000 0.000 0.000
Fe 1.985 1.146 0.000
Os 0.000 2.292 1.292
CELL_PARAMETERS angstrom
3.969 0.000 0.000
-1.985 3.437 0.000
0.000 0.000 2.583
! - E: -10.4300 eV/atom
! - Space-group type: P-6m2 (187)
! - Excess energy over the best structure of this formula in the dataset: 0.0 meV/atom
! - ΔE_f: 0.044 eV per atom

---

6.
! PBEsol Cr2Fe2Os, relaxed; values from VASP
&SYSTEM
  ibrav = 0, nat = 5, ntyp = 3
/
ATOMIC_SPECIES
Cr 52.00 Cr.upf
Fe 55.84 Fe.upf
Os 190.23 Os.upf
ATOMIC_POSITIONS angstrom
Cr 1.756 0.000 2.409
Cr 0.000 1.756 2.409
Fe 0.000 0.000 1.027
Fe 0.000 0.000 8.610
Os 0.000 0.000 4.818
CELL_PARAMETERS angstrom
-1.756 1.756 4.818
1.756 -1.756 4.818
1.756 1.756 -4.818
! - E: -9.5914 eV/atom
! - Space-group type: I4/mmm (139)
! - ΔE_f: 0.534 eV per atom

---

7.
! PBEsol Cr2FeOs, relaxed; values from VASP
&SYSTEM
  ibrav = 0, nat = 4, ntyp = 3
/
ATOMIC_SPECIES
Cr 52.00 Cr.upf
Fe 55.84 Fe.upf
Os 190.23 Os.upf
ATOMIC_POSITIONS angstrom
Cr 1.814 0.000 1.788
Cr 0.000 1.814 1.788
Fe 0.000 0.000 0.000
Os 0.000 0.000 3.577
CELL_PARAMETERS angstrom
-1.814 1.814 3.577
1.814 -1.814 3.577
1.814 1.814 -3.577
! - E: -10.3171 eV/atom
! - Space-group type: I4/mmm (139)
! - Excess energy over the best structure of this formula in the dataset: 0.0 meV/atom
! - ΔE_f: 0.099 eV per atom

---

8.
! PBEsol CrFeOs, relaxed; values from VASP
&SYSTEM
  ibrav = 0, nat = 3, ntyp = 3
/
ATOMIC_SPECIES
Cr 52.00 Cr.upf
Fe 55.84 Fe.upf
Os 190.23 Os.upf
ATOMIC_POSITIONS angstrom
Cr 0.000 0.000 0.000
Fe 0.000 0.000 5.074
Os 0.000 0.000 2.523
CELL_PARAMETERS angstrom
-1.289 1.796 3.837
1.289 -1.796 3.837
1.289 1.796 -3.837
! - E: -10.3443 eV/atom
! - Space-group type: Imm2 (44)
! - Excess energy over the best structure of this formula in the dataset: 85.7 meV/atom
! - ΔE_f: 0.130 eV per atom

---

9.
! PBEsol CrFeP3, relaxed; values from VASP
&SYSTEM
  ibrav = 0, nat = 5, ntyp = 3
/
ATOMIC_SPECIES
Cr 52.00 Cr.upf
Fe 55.84 Fe.upf
P 30.97 P.upf
ATOMIC_POSITIONS angstrom
Cr 0.000 0.000 0.000
Fe 2.144 2.144 2.144
P 0.000 2.144 2.144
P 2.144 0.000 2.144
P 2.144 2.144 0.000
CELL_PARAMETERS angstrom
4.289 0.000 0.000
0.000 4.289 0.000
0.000 0.000 4.289
! - E: -6.6860 eV/atom
! - Space-group type: Pm-3m (221)
! - ΔE_f: 0.630 eV per atom

---

10.
! PBEsol Cr2FePb, relaxed; values from VASP
&SYSTEM
  ibrav = 0, nat = 4, ntyp = 3
/
ATOMIC_SPECIES
Cr 52.00 Cr.upf
Fe 55.84 Fe.upf
Pb 207.20 Pb.upf
ATOMIC_POSITIONS angstrom
Cr 0.000 0.000 2.012
Cr 0.000 0.000 6.279
Fe 1.656 0.000 0.000
Pb 0.000 1.986 0.000
CELL_PARAMETERS angstrom
-1.656 1.986 4.145
1.656 -1.986 4.145
1.656 1.986 -4.145
! - E: -7.7158 eV/atom
! - Space-group type: Immm (71)
! - ΔE_f: 0.646 eV per atom

---

11.
! PBEsol TaCr2FePb, relaxed; values from VASP
&SYSTEM
  ibrav = 0, nat = 5, ntyp = 4
/
ATOMIC_SPECIES
Ta 180.95 Ta.upf
Cr 52.00 Cr.upf
Fe 55.84 Fe.upf
Pb 207.20 Pb.upf
ATOMIC_POSITIONS angstrom
Ta 0.000 0.000 0.000
Cr 0.000 2.348 0.000
Cr 2.348 0.000 0.000
Fe 0.000 0.000 2.266
Pb 2.348 2.348 2.266
CELL_PARAMETERS angstrom
4.697 0.000 0.000
0.000 4.697 0.000
0.000 0.000 4.532
! - E: -7.6821 eV/atom
! - Space-group type: P4/mmm (123)
! - ΔE_f: 1.517 eV per atom

---

12.
! PBEsol CrFe2Pt, relaxed; values from VASP
&SYSTEM
  ibrav = 0, nat = 4, ntyp = 3
/
ATOMIC_SPECIES
Cr 52.00 Cr.upf
Fe 55.84 Fe.upf
Pt 195.08 Pt.upf
ATOMIC_POSITIONS angstrom
Cr 0.000 0.000 0.000
Fe 0.000 0.000 3.220
Fe 1.292 1.292 1.560
Pt 1.292 1.292 5.157
CELL_PARAMETERS angstrom
2.584 0.000 0.000
0.000 2.584 0.000
0.000 0.000 7.080
! - E: -8.7883 eV/atom
! - Space-group type: P4mm (99)
! - ΔE_f: -0.005 eV per atom

---

13.
! PBEsol CrFe2Pt, relaxed; values from VASP
&SYSTEM
  ibrav = 0, nat = 4, ntyp = 3
/
ATOMIC_SPECIES
Cr 52.00 Cr.upf
Fe 55.84 Fe.upf
Pt 195.08 Pt.upf
ATOMIC_POSITIONS angstrom
Cr 0.000 0.000 0.000
Fe 1.820 0.000 1.838
Fe 0.000 0.000 3.676
Pt 0.000 1.820 1.838
CELL_PARAMETERS angstrom
-1.820 1.820 3.676
1.820 -1.820 3.676
1.820 1.820 -3.676
! - E: -8.8816 eV/atom
! - Space-group type: I-4m2 (119)
! - ΔE_f: -0.098 eV per atom

---

14.
! PBEsol CrFe2Pt, relaxed; values from VASP
&SYSTEM
  ibrav = 0, nat = 4, ntyp = 3
/
ATOMIC_SPECIES
Cr 52.00 Cr.upf
Fe 55.84 Fe.upf
Pt 195.08 Pt.upf
ATOMIC_POSITIONS angstrom
Cr 0.000 0.000 0.000
Fe 1.454 1.454 1.454
Fe 4.362 4.362 4.362
Pt 2.908 2.908 2.908
CELL_PARAMETERS angstrom
0.000 2.908 2.908
2.908 0.000 2.908
2.908 2.908 0.000
! - E: -8.6604 eV/atom
! - Space-group type: Fm-3m (225)
! - ΔE_f: 0.123 eV per atom

---

15.
! PBEsol CrFePt3, relaxed; values from VASP
&SYSTEM
  ibrav = 0, nat = 5, ntyp = 3
/
ATOMIC_SPECIES
Cr 52.00 Cr.upf
Fe 55.84 Fe.upf
Pt 195.08 Pt.upf
ATOMIC_POSITIONS angstrom
Cr 0.000 0.000 0.000
Fe 2.246 2.246 2.246
Pt 0.000 0.000 2.246
Pt 0.000 2.246 0.000
Pt 2.246 0.000 0.000
CELL_PARAMETERS angstrom
4.491 0.000 0.000
0.000 4.491 0.000
0.000 0.000 4.491
! - E: -6.7349 eV/atom
! - Space-group type: Pm-3m (221)
! - ΔE_f: 1.284 eV per atom

---

16.
! PBEsol CrFe2Pt, relaxed; values from VASP
&SYSTEM
  ibrav = 0, nat = 4, ntyp = 3
/
ATOMIC_SPECIES
Cr 52.00 Cr.upf
Fe 55.84 Fe.upf
Pt 195.08 Pt.upf
ATOMIC_POSITIONS angstrom
Cr 0.000 0.000 0.000
Fe 0.000 0.000 12.173
Fe 0.000 0.000 18.462
Pt 0.000 0.000 6.086
CELL_PARAMETERS angstrom
1.300 0.750 8.292
-1.300 0.750 8.292
0.000 -1.501 8.292
! - E: -8.6783 eV/atom
! - Space-group type: R3m (160)
! - ΔE_f: 0.105 eV per atom

---

17.
! PBEsol CrFe2Pt, relaxed; values from VASP
&SYSTEM
  ibrav = 0, nat = 4, ntyp = 3
/
ATOMIC_SPECIES
Cr 52.00 Cr.upf
Fe 55.84 Fe.upf
Pt 195.08 Pt.upf
ATOMIC_POSITIONS angstrom
Cr 0.000 0.000 0.000
Fe 1.305 1.775 1.195
Fe 1.305 1.775 4.031
Pt 0.000 0.000 2.613
CELL_PARAMETERS angstrom
2.610 0.000 0.000
0.000 3.549 0.000
0.000 0.000 5.225
! - E: -8.8120 eV/atom
! - Space-group type: Pmmm (47)
! - ΔE_f: -0.029 eV per atom

---

18.
! PBEsol Cr2Fe2Pt, relaxed; values from VASP
&SYSTEM
  ibrav = 0, nat = 5, ntyp = 3
/
ATOMIC_SPECIES
Cr 52.00 Cr.upf
Fe 55.84 Fe.upf
Pt 195.08 Pt.upf
ATOMIC_POSITIONS angstrom
Cr 0.000 0.000 1.090
Cr 0.000 0.000 8.695
Fe 1.768 0.000 2.446
Fe 0.000 1.768 2.446
Pt 0.000 0.000 4.893
CELL_PARAMETERS angstrom
-1.768 1.768 4.893
1.768 -1.768 4.893
1.768 1.768 -4.893
! - E: -8.6922 eV/atom
! - Space-group type: I4/mmm (139)
! - ΔE_f: 0.383 eV per atom

---

19.
! PBEsol Cr2FeTePt, relaxed; values from VASP
&SYSTEM
  ibrav = 0, nat = 5, ntyp = 4
/
ATOMIC_SPECIES
Cr 52.00 Cr.upf
Fe 55.84 Fe.upf
Te 127.60 Te.upf
Pt 195.08 Pt.upf
ATOMIC_POSITIONS angstrom
Cr 0.000 2.417 0.000
Cr 2.417 0.000 0.000
Fe 0.000 0.000 2.286
Te 0.000 0.000 0.000
Pt 2.417 2.417 2.286
CELL_PARAMETERS angstrom
4.835 0.000 0.000
0.000 4.835 0.000
0.000 0.000 4.572
! - E: -6.4023 eV/atom
! - Space-group type: P4/mmm (123)
! - Formation energy from raw total energies: 1.585 eV per atom

---

20.
! PBEsol RbCrFe2, relaxed; values from VASP
&SYSTEM
  ibrav = 0, nat = 4, ntyp = 3
/
ATOMIC_SPECIES
Rb 85.47 Rb.upf
Cr 52.00 Cr.upf
Fe 55.84 Fe.upf
ATOMIC_POSITIONS angstrom
Rb 0.000 0.000 0.000
Cr 3.229 3.229 3.229
Fe 1.614 1.614 1.614
Fe 4.843 4.843 4.843
CELL_PARAMETERS angstrom
0.000 3.229 3.229
3.229 0.000 3.229
3.229 3.229 0.000
! - E: -5.3210 eV/atom
! - Space-group type: Fm-3m (225)
! - ΔE_f: 1.978 eV per atom